<a>
The following is a PBE calculation of a relaxed CsBa2Pd crystal, from Alexandria.

## Properties
* total moment: 0.0 μB per formula unit
* space group: No. 225
* N(E_F): 2.4311 states/eV/atom

abc: 8.693 8.693 8.693
angles: 90.00 90.00 90.00
Fractional coordinates of all 16 atoms:
Cs 0.000 0.000 0.000
Cs 0.000 0.500 0.500
Cs 0.500 0.000 0.500
Cs 0.500 0.500 0.000
Ba 0.250 0.250 0.250
Ba 0.250 0.250 0.750
Ba 0.250 0.750 0.250
Ba 0.250 0.750 0.750
Ba 0.750 0.250 0.250
Ba 0.750 0.250 0.750
Ba 0.750 0.750 0.250
Ba 0.750 0.750 0.750
Pd 0.000 0.000 0.500
Pd 0.000 0.500 0.000
Pd 0.500 0.000 0.000
Pd 0.500 0.500 0.500

---

<b>
The following is a PBE calculation of a relaxed CsBa2Pd crystal, from Alexandria.

## Properties
* total moment: 0.0 μB per formula unit
* space group: No. 12
* N(E_F): 0.8000 states/eV/atom

abc: 8.251 4.754 12.036
angles: 90.00 90.58 90.00
Fractional coordinates of all 8 atoms:
Cs 0.000 0.000 0.000
Cs 0.500 0.500 0.000
Ba 0.169 0.500 0.639
Ba 0.331 0.000 0.361
Ba 0.669 0.000 0.639
Ba 0.831 0.500 0.361
Pd 0.000 0.000 0.500
Pd 0.500 0.500 0.500

---

It is <b> that is most stable; the runner-up trails by 426 meV per atom.

---

<a>
The following is a PBE calculation of a relaxed CsBaSr2Pd crystal, from Alexandria.

## Properties
* total moment: 0.0 μB per formula unit
* space group: No. 123
* N(E_F): 1.0138 states/eV/atom

abc: 6.135 6.135 6.921
angles: 90.00 90.00 90.00
Fractional coordinates of all 5 atoms:
Cs 0.000 0.000 0.000
Ba 0.500 0.500 0.000
Sr 0.000 0.500 0.500
Sr 0.500 0.000 0.500
Pd 0.000 0.000 0.500

---

<b>
The following is a PBE calculation of a relaxed CsBaSr2Pd crystal, from Alexandria.

## Properties
* total moment: 0.0 μB per formula unit
* space group: No. 123
* N(E_F): 1.0152 states/eV/atom

abc: 6.303 6.303 6.474
angles: 90.00 90.00 90.00
Fractional coordinates of all 5 atoms:
Cs 0.000 0.000 0.000
Ba 0.500 0.500 0.000
Sr 0.000 0.500 0.500
Sr 0.500 0.000 0.500
Pd 0.500 0.500 0.500

---

It is <b> that is most stable; the runner-up trails by 144 meV per atom.

---

<a>
The following is a PBE calculation of a relaxed Cs2Ba2Pt crystal, from Alexandria.

## Properties
* total moment: 0.0 μB per formula unit
* space group: No. 139
* N(E_F): 1.0604 states/eV/atom

abc: 4.618 4.618 24.576
angles: 90.00 90.00 90.00
Fractional coordinates of all 10 atoms:
Cs 0.000 0.500 0.250
Cs 0.000 0.500 0.750
Cs 0.500 0.000 0.250
Cs 0.500 0.000 0.750
Ba 0.000 0.000 0.072
Ba 0.000 0.000 0.928
Ba 0.500 0.500 0.428
Ba 0.500 0.500 0.572
Pt 0.000 0.000 0.500
Pt 0.500 0.500 0.000

---

<b>
The following is a PBE calculation of a relaxed Cs2Ba2Pt crystal, from Alexandria.

## Properties
* total moment: 0.0 μB per formula unit
* space group: No. 127
* N(E_F): 1.8788 states/eV/atom

abc: 8.564 8.564 7.164
angles: 90.00 90.00 90.00
Fractional coordinates of all 10 atoms:
Cs 0.153 0.347 0.000
Cs 0.347 0.847 0.000
Cs 0.653 0.153 0.000
Cs 0.847 0.653 0.000
Ba 0.194 0.694 0.500
Ba 0.306 0.194 0.500
Ba 0.694 0.806 0.500
Ba 0.806 0.306 0.500
Pt 0.000 0.000 0.000
Pt 0.500 0.500 0.000

---

It is <b> that is most stable; the runner-up trails by 9 meV per atom.

---

<a>
The following is a PBE calculation of a relaxed CsRb3Ba crystal, from Alexandria.

## Properties
* total moment: 0.0 μB per formula unit
* space group: No. 221
* N(E_F): 1.4246 states/eV/atom

abc: 8.001 8.001 8.001
angles: 90.00 90.00 90.00
Fractional coordinates of all 5 atoms:
Cs 0.000 0.000 0.000
Rb 0.000 0.000 0.500
Rb 0.000 0.500 0.000
Rb 0.500 0.000 0.000
Ba 0.500 0.500 0.500

---

<b>
The following is a PBE calculation of a relaxed CsRb3Ba crystal, from Alexandria.

## Properties
* total moment: 0.0 μB per formula unit
* space group: No. 221
* N(E_F): 1.8128 states/eV/atom

abc: 8.491 8.491 8.491
angles: 90.00 90.00 90.00
Fractional coordinates of all 5 atoms:
Cs 0.000 0.000 0.000
Rb 0.000 0.500 0.500
Rb 0.500 0.000 0.500
Rb 0.500 0.500 0.000
Ba 0.500 0.500 0.500

---

It is <b> that is most stable; the runner-up trails by 32 meV per atom.

---

<a>
The following is a PBE calculation of a relaxed Cs2RbBa crystal, from Alexandria.

## Properties
* total moment: 0.0 μB per formula unit
* space group: No. 225
* N(E_F): 1.4888 states/eV/atom

abc: 11.403 11.403 11.403
angles: 90.00 90.00 90.00
Fractional coordinates of all 16 atoms:
Cs 0.250 0.250 0.250
Cs 0.250 0.250 0.750
Cs 0.250 0.750 0.250
Cs 0.250 0.750 0.750
Cs 0.750 0.250 0.250
Cs 0.750 0.250 0.750
Cs 0.750 0.750 0.250
Cs 0.750 0.750 0.750
Rb 0.000 0.000 0.000
Rb 0.000 0.500 0.500
Rb 0.500 0.000 0.500
Rb 0.500 0.500 0.000
Ba 0.000 0.000 0.500
Ba 0.000 0.500 0.000
Ba 0.500 0.000 0.000
Ba 0.500 0.500 0.500

---

<b>
The following is a PBE calculation of a relaxed Cs2RbBa crystal, from Alexandria.

## Properties
* total moment: 0.0 μB per formula unit
* space group: No. 123
* N(E_F): 1.4646 states/eV/atom

abc: 8.387 8.387 5.195
angles: 90.00 90.00 90.00
Fractional coordinates of all 4 atoms:
Cs 0.000 0.500 0.000
Cs 0.500 0.000 0.000
Rb 0.000 0.000 0.500
Ba 0.500 0.500 0.500

---

It is <b> that is most stable; the runner-up trails by 21 meV per atom.

---

<a>
The following is a PBE calculation of a relaxed CsBa2Rh crystal, from Alexandria.

## Properties
* total moment: 0.0 μB per formula unit
* space group: No. 12
* N(E_F): 0.7010 states/eV/atom

abc: 8.119 4.678 11.713
angles: 90.00 90.43 90.00
Fractional coordinates of all 8 atoms:
Cs 0.000 0.000 0.000
Cs 0.500 0.500 0.000
Ba 0.168 0.500 0.635
Ba 0.332 0.000 0.365
Ba 0.668 0.000 0.635
Ba 0.832 0.500 0.365
Rh 0.000 0.000 0.500
Rh 0.500 0.500 0.500

---

<b>
The following is a PBE calculation of a relaxed CsBa2Rh crystal, from Alexandria.

## Properties
* total moment: 0.7 μB per formula unit
* space group: No. 123
* N(E_F): 1.0093 states/eV/atom

abc: 3.990 3.990 12.366
angles: 90.00 90.00 90.00
Fractional coordinates of all 4 atoms:
Cs 0.000 0.000 0.000
Ba 0.500 0.500 0.357
Ba 0.500 0.500 0.643
Rh 0.000 0.000 0.500

---

<c>
The following is a PBE calculation of a relaxed CsBa2Rh crystal, from Alexandria.

## Properties
* total moment: 0.0 μB per formula unit
* space group: No. 225
* N(E_F): 0.4635 states/eV/atom

abc: 8.467 8.467 8.467
angles: 90.00 90.00 90.00
Fractional coordinates of all 16 atoms:
Cs 0.000 0.000 0.000
Cs 0.000 0.500 0.500
Cs 0.500 0.000 0.500
Cs 0.500 0.500 0.000
Ba 0.250 0.250 0.250
Ba 0.250 0.250 0.750
Ba 0.250 0.750 0.250
Ba 0.250 0.750 0.750
Ba 0.750 0.250 0.250
Ba 0.750 0.250 0.750
Ba 0.750 0.750 0.250
Ba 0.750 0.750 0.750
Rh 0.000 0.000 0.500
Rh 0.000 0.500 0.000
Rh 0.500 0.000 0.000
Rh 0.500 0.500 0.500

---

It is <a> that is most stable; the runner-up trails by 113 meV per atom.